Entry a
3
Lattice="-2.421 -1.772 -4.148 -1.682 -4.833 -0.112 -5.023 -0.966 0.186" Properties=species:S:1:pos:R:3 comment="PrTaTl | OQMD via LeMat-Bulk | PBE | relaxed" m_tot_mub_per_atom=0.9599 crystal_system=cubic pbc="T T T"
Pr 0.000 0.000 0.000
Tl -6.845 -5.679 -3.055
Ta -2.282 -1.893 -1.018

=====

Entry b
3
Lattice="0.000 3.506 3.506 3.506 0.000 3.506 3.506 3.506 0.000" Properties=species:S:1:pos:R:3 comment="PrTaTl | OQMD via LeMat-Bulk | PBE | relaxed" m_tot_mub_per_atom=0.0061 crystal_system=cubic pbc="T T T"
Tl 0.000 0.000 0.000
Pr 1.753 1.753 1.753
Ta 5.260 5.260 5.260

=====

The most stable arrangement is entry b, and the next structure is 41.1 kJ/mol of atoms less stable.

=====

Entry a
2
Lattice="3.659 0.000 0.000 -1.830 3.169 0.000 0.000 0.000 5.909" Properties=species:S:1:pos:R:3 comment="TbPr | OQMD via LeMat-Bulk | PBE | relaxed" m_tot_mub_per_atom=0.0012 crystal_system=hexagonal pbc="T T T"
Tb 0.000 2.113 1.477
Pr 1.830 1.056 4.432

=====

Entry b
2
Lattice="4.179 -1.873 -0.538 0.575 -4.545 0.531 0.882 -2.656 -3.665" Properties=species:S:1:pos:R:3 comment="TbPr | OQMD via LeMat-Bulk | PBE | relaxed" m_tot_mub_per_atom=0.0814 crystal_system=cubic pbc="T T T"
Pr 0.000 0.000 0.000
Tb 2.818 -4.537 -1.836

=====

Entry c
2
Lattice="0.000 3.478 3.478 3.478 0.000 3.478 3.478 3.478 0.000" Properties=species:S:1:pos:R:3 comment="TbPr | OQMD via LeMat-Bulk | PBE | relaxed" m_tot_mub_per_atom=0.0062 crystal_system=cubic pbc="T T T"
Pr 0.000 0.000 0.000
Tb 1.739 1.739 1.739

=====

The most stable arrangement is entry a, and the next structure is 60.0 kJ/mol of atoms less stable.

=====

Entry a
3
Lattice="0.000 3.528 3.528 3.528 0.000 3.528 3.528 3.528 0.000" Properties=species:S:1:pos:R:3 comment="PrTlTc | OQMD via LeMat-Bulk | PBE | relaxed" m_tot_mub_per_atom=0.4238 crystal_system=cubic pbc="T T T"
Tl 5.293 5.293 5.293
Pr 0.000 0.000 0.000
Tc 1.764 1.764 1.764

=====

Entry b
3
Lattice="-2.878 1.249 3.713 -0.413 4.668 1.292 -4.146 2.396 -0.837" Properties=species:S:1:pos:R:3 comment="PrTlTc | OQMD via LeMat-Bulk | PBE | relaxed" m_tot_mub_per_atom=0.1366 crystal_system=cubic pbc="T T T"
Pr -1.859 2.078 1.042
Tc -5.578 6.235 3.126
Tl 0.000 0.000 0.000

=====

The most stable arrangement is entry b, and the next structure is 35.3 kJ/mol of atoms less stable.

=====

Entry a
3
Lattice="0.000 3.327 3.327 3.327 0.000 3.327 3.327 3.327 0.000" Properties=species:S:1:pos:R:3 comment="PrZnTc | OQMD via LeMat-Bulk | PBE | relaxed" m_tot_mub_per_atom=0.6419 crystal_system=cubic pbc="T T T"
Zn 4.991 4.991 4.991
Pr 0.000 0.000 0.000
Tc 1.664 1.664 1.664

=====

Entry b
3
Lattice="-0.866 -4.491 0.285 -1.257 -1.841 4.003 -4.299 -1.471 0.596" Properties=species:S:1:pos:R:3 comment="PrZnTc | OQMD via LeMat-Bulk | PBE | relaxed" m_tot_mub_per_atom=0.2708 crystal_system=cubic pbc="T T T"
Tc -4.816 -5.852 3.664
Zn 0.000 0.000 0.000
Pr -1.605 -1.951 1.221

=====

The most stable arrangement is entry b, and the next structure is 59.6 kJ/mol of atoms less stable.

=====

Entry a
24
Lattice="-2.968 -11.590 0.525 3.501 -1.012 -2.555 8.783 -1.674 12.697" Properties=species:S:1:pos:R:3 comment="PrTlZnTe3 | OQMD via LeMat-Bulk | PBE | relaxed" m_tot_mub_per_atom=0.0003 crystal_system=orthorhombic pbc="T T T"
Tl 6.244 -4.845 4.660
Tl 0.277 -2.821 -0.441
Tl 9.039 -11.456 11.108
Te 6.294 -10.726 7.058
Te 2.363 -5.687 -0.325
Zn 5.485 -10.417 9.703
Te 6.953 -8.590 10.992
Zn 3.831 -3.860 0.963
Pr 7.745 -8.003 7.967
Pr 0.212 -12.093 3.142
Zn 6.390 -4.511 8.604
Te 4.339 -7.786 3.214
Te 4.977 -6.491 7.453
Pr 9.104 -2.184 7.524
Te 0.226 -9.096 1.974
Tl 3.071 -9.432 6.006
Pr 1.571 -6.274 2.699
Te 5.799 -12.726 11.049
Te 5.950 -2.321 7.134
Zn 2.926 -9.766 2.063
Te 9.090 -5.181 8.693
Te 3.366 -11.956 3.533
Te 3.517 -1.551 -0.382
Te 3.022 -3.551 3.609

=====

Entry b
12
Lattice="-9.173 3.941 3.083 -8.352 0.744 6.235 6.074 5.601 4.101" Properties=species:S:1:pos:R:3 comment="PrTlZnTe3 | OQMD via LeMat-Bulk | PBE | relaxed" m_tot_mub_per_atom=0.0011 crystal_system=monoclinic pbc="T T T"
Te -5.726 5.143 6.709
Pr -8.938 9.083 11.544
Tl 1.229 3.769 3.503
Te -9.819 4.903 7.532
Te 0.000 0.000 0.000
Tl -12.681 6.518 9.915
Zn -3.413 6.486 7.470
Pr -2.514 1.203 1.875
Zn -8.039 3.800 5.949
Te -1.632 5.383 5.887
Te -6.683 7.872 9.727
Te -4.768 2.414 3.691

=====

The most stable arrangement is entry a, and the next structure is 14.0 kJ/mol of atoms less stable.

=====

Entry a
24
Lattice="-0.668 9.056 -1.297 -1.565 -0.737 -4.338 -16.986 -0.367 6.192" Properties=species:S:1:pos:R:3 comment="PrTlZnTe3 | OQMD via LeMat-Bulk | PBE | relaxed" m_tot_mub_per_atom=0.0000 crystal_system=orthorhombic pbc="T T T"
Te -13.483 0.991 0.926
Zn -12.504 4.934 -0.097
Te -8.002 0.787 1.497
Te -11.218 7.166 -0.940
Tl -14.048 3.431 3.230
Pr -17.849 5.831 1.680
Zn -3.386 7.627 -1.330
Te -5.737 6.962 -0.369
Pr -8.582 6.502 0.736
Zn -15.834 0.326 1.888
Te -10.735 4.155 1.911
Tl -6.096 -0.033 -1.565
Zn -6.716 3.020 0.654
Te -17.445 2.497 2.100
Te -8.485 3.798 -1.354
Tl -5.171 4.522 -2.672
Pr -1.371 2.122 -1.123
Te -14.945 5.495 0.689
Tl -13.124 7.987 2.123
Te -4.274 2.458 -0.132
Te -1.775 5.457 -1.543
Te -15.866 -0.491 4.552
Pr -10.638 1.451 -0.178
Te -3.354 8.444 -3.994

=====

Entry b
24
Lattice="12.701 0.000 0.000 0.000 4.593 0.000 0.000 0.000 13.363" Properties=species:S:1:pos:R:3 comment="PrTlZnTe3 | OQMD via LeMat-Bulk | PBE | relaxed" m_tot_mub_per_atom=0.0007 crystal_system=orthorhombic pbc="T T T"
Te 11.388 2.296 7.492
Zn 3.245 0.000 3.999
Te 12.165 0.000 2.001
Te 7.664 0.000 0.810
Te 3.618 0.000 9.271
Te 9.083 2.296 4.091
Tl 8.648 0.000 6.744
Tl 4.053 2.296 6.619
Pr 6.012 2.296 2.412
Pr 0.338 0.000 9.094
Zn 9.596 0.000 2.682
Tl 10.403 2.296 0.062
Te 2.733 2.296 2.590
Te 6.886 2.296 8.682
Pr 6.689 0.000 10.950
Zn 3.105 2.296 10.681
Te 5.037 2.296 12.552
Te 5.815 0.000 4.681
Te 1.313 0.000 5.871
Te 9.968 0.000 10.773
Pr 12.362 2.296 4.269
Zn 9.456 2.296 9.363
Tl 2.298 0.000 13.300
Te 0.536 2.296 11.362

=====

The most stable arrangement is entry b, and the next structure is 5.8 kJ/mol of atoms less stable.

=====

Entry a
24
Lattice="15.834 0.000 0.000 0.000 4.464 0.000 0.000 0.000 12.034" Properties=species:S:1:pos:R:3 comment="PrTlZnTe3 | OQMD via LeMat-Bulk | PBE | relaxed" m_tot_mub_per_atom=0.0002 crystal_system=orthorhombic pbc="T T T"
Te 2.358 1.116 2.878
Te 6.571 3.348 4.683
Te 1.660 3.348 7.000
Te 1.346 1.116 10.700
Pr 15.407 1.116 7.943
Zn 0.273 1.116 1.199
Te 13.476 3.348 9.156
Tl 12.030 1.116 11.649
Te 9.263 1.116 7.351
Te 6.257 1.116 0.983
Pr 7.491 1.116 10.108
Tl 3.803 3.348 0.385
Pr 8.343 3.348 1.926
Zn 8.190 1.116 4.818
Tl 11.720 3.348 5.632
Zn 15.561 3.348 10.835
Pr 0.426 3.348 4.091
Te 9.577 3.348 11.051
Tl 4.114 1.116 6.402
Te 5.559 3.348 8.895
Te 10.275 1.116 3.139
Te 14.488 3.348 1.334
Te 14.174 1.116 5.034
Zn 7.644 3.348 7.216

=====

Entry b
12
Lattice="-8.752 1.713 1.069 -0.648 -4.190 1.413 5.061 2.495 9.719" Properties=species:S:1:pos:R:3 comment="PrTlZnTe3 | OQMD via LeMat-Bulk | PBE | relaxed" m_tot_mub_per_atom=0.0000 crystal_system=monoclinic pbc="T T T"
Te -1.118 -0.710 7.986
Te -6.546 -1.774 2.340
Te 2.208 1.791 9.860
Zn -4.661 0.215 2.035
Te -5.458 0.108 8.420
Pr 1.373 0.883 6.782
Te 1.120 -0.090 3.780
Te -3.221 0.727 4.215
Tl -2.807 2.241 8.895
Tl -1.531 -2.224 3.305
Pr -5.711 -0.865 5.418
Zn 0.323 -0.197 10.166

=====

The most stable arrangement is entry a, and the next structure is 0.5 kJ/mol of atoms less stable.

=====

Entry a
3
Lattice="0.000 3.736 3.736 3.736 0.000 3.736 3.736 3.736 0.000" Properties=species:S:1:pos:R:3 comment="PrZrTe | OQMD via LeMat-Bulk | PBE | relaxed" m_tot_mub_per_atom=1.1748 crystal_system=cubic pbc="T T T"
Te 1.868 1.868 1.868
Zr 5.603 5.603 5.603
Pr 0.000 0.000 0.000

=====

Entry b
3
Lattice="0.000 3.553 3.553 3.553 0.000 3.553 3.553 3.553 0.000" Properties=species:S:1:pos:R:3 comment="PrZrTe | OQMD via LeMat-Bulk | PBE | relaxed" m_tot_mub_per_atom=0.0114 crystal_system=cubic pbc="T T T"
Pr 1.776 1.776 1.776
Zr 5.329 5.329 5.329
Te 0.000 0.000 0.000

=====

The most stable arrangement is entry b, and the next structure is 68.2 kJ/mol of atoms less stable.

=====

Entry a
2
Lattice="0.000 3.019 3.019 3.019 0.000 3.019 3.019 3.019 0.000" Properties=species:S:1:pos:R:3 comment="PrU | OQMD via LeMat-Bulk | PBE | relaxed" m_tot_mub_per_atom=0.7710 crystal_system=cubic pbc="T T T"
U 3.019 3.019 3.019
Pr 0.000 0.000 0.000

=====

Entry b
2
Lattice="3.272 0.000 0.000 -1.636 2.834 0.000 0.000 0.000 5.951" Properties=species:S:1:pos:R:3 comment="PrU | OQMD via LeMat-Bulk | PBE | relaxed" m_tot_mub_per_atom=1.0854 crystal_system=hexagonal pbc="T T T"
U 0.000 1.889 1.488
Pr 1.636 0.945 4.463

=====

Entry c
2
Lattice="0.000 3.154 3.154 3.154 0.000 3.154 3.154 3.154 0.000" Properties=species:S:1:pos:R:3 comment="PrU | OQMD via LeMat-Bulk | PBE | relaxed" m_tot_mub_per_atom=0.3348 crystal_system=cubic pbc="T T T"
U 1.577 1.577 1.577
Pr 0.000 0.000 0.000

=====

The most stable arrangement is entry b, and the next structure is 69.6 kJ/mol of atoms less stable.

=====

Entry a
2
Lattice="3.463 -0.887 2.247 2.154 3.110 1.876 -0.060 0.372 4.206" Properties=species:S:1:pos:R:3 comment="PrW | OQMD via LeMat-Bulk | PBE | relaxed" m_tot_mub_per_atom=0.0406 crystal_system=cubic pbc="T T T"
Pr 0.000 0.000 0.000
W 2.779 1.297 4.164

=====

Entry b
2
Lattice="3.021 0.000 0.000 -1.511 2.616 0.000 0.000 0.000 5.678" Properties=species:S:1:pos:R:3 comment="PrW | OQMD via LeMat-Bulk | PBE | relaxed" m_tot_mub_per_atom=0.0024 crystal_system=hexagonal pbc="T T T"
Pr 1.511 0.872 4.258
W 0.000 1.744 1.419

=====

Entry c
2
Lattice="0.000 3.338 3.338 3.338 0.000 3.338 3.338 3.338 0.000" Properties=species:S:1:pos:R:3 comment="PrW | OQMD via LeMat-Bulk | PBE | relaxed" m_tot_mub_per_atom=1.4996 crystal_system=cubic pbc="T T T"
Pr 0.000 0.000 0.000
W 1.669 1.669 1.669

=====

The most stable arrangement is entry b, and the next structure is 75.8 kJ/mol of atoms less stable.

=====

Entry a
6
Lattice="-1.644 1.538 8.287 6.477 1.106 5.529 1.538 7.772 3.312" Properties=species:S:1:pos:R:3 comment="Pr2W | OQMD via LeMat-Bulk | PBE | relaxed" m_tot_mub_per_atom=0.0001 crystal_system=cubic pbc="T T T"
Pr 1.567 4.675 10.566
Pr 5.627 4.459 9.188
W 3.185 5.208 8.564
W 1.593 2.604 4.282
Pr 3.158 7.792 8.079
Pr 2.389 3.906 6.423

=====

Entry b
6
Lattice="0.000 4.304 4.304 4.304 0.000 4.304 4.304 4.304 0.000" Properties=species:S:1:pos:R:3 comment="Pr2W | OQMD via LeMat-Bulk | PBE | relaxed" m_tot_mub_per_atom=0.0002 crystal_system=cubic pbc="T T T"
Pr 5.380 5.380 5.380
Pr 5.380 3.228 3.228
Pr 3.228 3.228 5.380
W 2.152 2.152 2.152
W 0.000 0.000 0.000
Pr 3.228 5.380 3.228

=====

The most stable arrangement is entry b, and the next structure is 37.9 kJ/mol of atoms less stable.